1.
An optimized crystal structure of Ac3IrI. Source: the Alexandria database, functional GGA-PBE.

Cell: 5.931 5.931 5.931 Å, 90.00 90.00 90.00°
Sites, in units of the cell vectors:
1 Ac 0.000 0.500 0.000
2 Ac 0.000 0.000 0.500
3 Ac 0.500 0.000 0.000
4 I 0.500 0.500 0.500
5 Ir 0.000 0.000 0.000

Results
Polymorph energy (0 for the lowest one) in meV/atom: 146
Size of the total moment in Bohr magnetons per cell: 0.00
Formation energy from raw total energies in eV/atom: -0.511

2.
An optimized crystal structure of Sm2Ho7Mg2. Source: the Alexandria database, functional GGA-PBE.

Cell: 5.666 8.072 8.072 Å, 88.02 74.66 74.66°
Sites, in units of the cell vectors:
1 Ho 0.339 0.225 0.225
2 Ho 0.186 0.601 0.016
3 Ho 0.186 0.016 0.601
4 Ho 0.814 0.399 0.984
5 Ho 0.000 0.000 0.000
6 Ho 0.661 0.775 0.775
7 Ho 0.814 0.984 0.399
8 Mg 0.784 0.434 0.434
9 Mg 0.216 0.566 0.566
10 Sm 0.500 0.222 0.778
11 Sm 0.500 0.778 0.222

Results
Formation enthalpy at 0 K in eV/atom: 0.17
Size of the total moment in Bohr magnetons per cell: 0.00

3.
An optimized crystal structure of Pr5CoTe2. Source: the Alexandria database, functional GGA-PBE.

Cell: 6.125 6.825 14.771 Å, 90.00 90.00 116.66°
Sites, in units of the cell vectors:
1 Pr 0.936 0.873 0.873
2 Pr 0.633 0.265 0.882
3 Pr 0.367 0.735 0.118
4 Pr 0.689 0.378 0.250
5 Pr 0.367 0.735 0.382
6 Pr 0.936 0.873 0.627
7 Pr 0.064 0.127 0.127
8 Pr 0.311 0.622 0.750
9 Pr 0.064 0.127 0.373
10 Pr 0.633 0.265 0.618
11 Co 0.220 0.440 0.250
12 Co 0.780 0.560 0.750
13 Te 0.810 0.620 0.060
14 Te 0.190 0.380 0.940
15 Te 0.810 0.620 0.440
16 Te 0.190 0.380 0.560

Results
Size of the total moment in Bohr magnetons per cell: 0.00
Formation energy from raw total energies in eV/atom: -0.513

4.
An optimized crystal structure of NiSe3Br. Source: the Alexandria database, functional GGA-PBE.

Cell: 6.826 6.401 6.402 Å, 120.00 90.00 90.00°
Sites, in units of the cell vectors:
1 Se 0.750 0.147 0.295
2 Se 0.250 0.853 0.147
3 Se 0.250 0.853 0.705
4 Se 0.250 0.295 0.147
5 Se 0.750 0.705 0.853
6 Se 0.750 0.147 0.853
7 Ni 0.500 0.000 0.000
8 Ni 0.000 0.000 0.000
9 Br 0.750 0.667 0.333
10 Br 0.250 0.333 0.667

Results
Polymorph energy (0 for the lowest one) in meV/atom: 0
Size of the total moment in Bohr magnetons per cell: 0.00
Formation energy from raw total energies in eV/atom: 0.081

5.
An optimized crystal structure of TbEr2Ag3. Source: the Alexandria database, functional GGA-PBE.

Cell: 3.601 3.601 10.965 Å, 90.00 90.00 90.00°
Sites, in units of the cell vectors:
1 Er 0.500 0.500 0.835
2 Er 0.500 0.500 0.165
3 Tb 0.500 0.500 0.500
4 Ag 0.000 0.000 0.000
5 Ag 0.000 0.000 0.328
6 Ag 0.000 0.000 0.672

Results
Formation enthalpy at 0 K in eV/atom: -0.33
Size of the total moment in Bohr magnetons per cell: 0.00

6.
An optimized crystal structure of Tl. Source: the Alexandria database, functional GGA-PBE.

Cell: 3.506 3.506 3.506 Å, 119.74 119.74 90.46°
Sites, in units of the cell vectors:
1 Tl 0.000 0.000 0.000

Results
Formation enthalpy at 0 K in eV/atom: 0.02
Polymorph energy (0 for the lowest one) in meV/atom: 22
Size of the total moment in Bohr magnetons per cell: 0.00

7.
An optimized crystal structure of Rb6SnBi4. Source: the Alexandria database, functional GGA-PBE.

Cell: 8.463 12.264 12.264 Å, 120.00 90.00 90.00°
Sites, in units of the cell vectors:
1 Bi 0.365 0.394 0.197
2 Bi 0.365 0.803 0.606
3 Bi 0.865 0.197 0.394
4 Bi 0.938 0.667 0.333
5 Bi 0.865 0.197 0.803
6 Bi 0.438 0.333 0.667
7 Bi 0.365 0.803 0.197
8 Bi 0.865 0.606 0.803
9 Sn 0.788 0.333 0.667
10 Sn 0.288 0.667 0.333
11 Rb 0.418 0.150 0.850
12 Rb 0.639 0.517 0.033
13 Rb 0.918 0.850 0.699
14 Rb 0.139 0.483 0.517
15 Rb 0.639 0.967 0.483
16 Rb 0.418 0.699 0.850
17 Rb 0.139 0.483 0.967
18 Rb 0.918 0.850 0.150
19 Rb 0.418 0.150 0.301
20 Rb 0.918 0.301 0.150
21 Rb 0.139 0.033 0.517
22 Rb 0.639 0.517 0.483

Results
Formation enthalpy at 0 K in eV/atom: -0.27
Size of the total moment in Bohr magnetons per cell: 4.12

8.
An optimized crystal structure of U2Fe2As2C. Source: the Alexandria database, functional GGA-PBE.

Cell: 3.808 6.223 6.114 Å, 54.16 90.00 72.19°
Sites, in units of the cell vectors:
1 As 0.803 0.394 0.312
2 As 0.197 0.606 0.688
3 Fe 0.184 0.633 0.291
4 Fe 0.816 0.367 0.709
5 C 0.000 0.000 0.000
6 U 0.529 0.943 0.738
7 U 0.471 0.057 0.262

Results
Formation enthalpy at 0 K in eV/atom: -0.39
Size of the total moment in Bohr magnetons per cell: 0.00

9.
An optimized crystal structure of Ba2CdGaIr. Source: the Alexandria database, functional GGA-PBE.

Cell: 6.121 4.853 6.121 Å, 90.00 90.00 90.00°
Sites, in units of the cell vectors:
1 Ga 0.000 0.500 0.000
2 Ba 0.000 0.000 0.500
3 Ba 0.500 0.000 0.000
4 Ir 0.000 0.000 0.000
5 Cd 0.500 0.500 0.500

Results
Formation enthalpy at 0 K in eV/atom: -0.27
Size of the total moment in Bohr magnetons per cell: 0.00

10.
An optimized crystal structure of Cr2GaRh. Source: the Alexandria database, functional GGA-PBE.

Cell: 6.817 6.817 5.415 Å, 50.99 50.99 90.00°
Sites, in units of the cell vectors:
1 Rh 0.000 0.000 0.000
2 Rh 0.750 0.250 0.500
3 Ga 0.250 0.750 0.500
4 Ga 0.500 0.500 0.000
5 Cr 0.640 0.125 0.250
6 Cr 0.875 0.890 0.750
7 Cr 0.110 0.625 0.250
8 Cr 0.375 0.360 0.750

Results
Formation enthalpy at 0 K in eV/atom: 0.52
Polymorph energy (0 for the lowest one) in meV/atom: 430
Size of the total moment in Bohr magnetons per cell: 0.00

11.
An optimized crystal structure of Dy5Er2Mg. Source: the Alexandria database, functional GGA-PBE.

Cell: 9.081 3.628 16.119 Å, 90.00 90.01 66.46°
Sites, in units of the cell vectors:
1 Er 0.208 0.292 0.522
2 Er 0.792 0.707 0.022
3 Er 0.208 0.293 0.978
4 Er 0.792 0.708 0.478
5 Dy 0.484 0.517 0.109
6 Dy 0.252 0.248 0.750
7 Dy 0.516 0.483 0.891
8 Dy 0.940 0.059 0.643
9 Dy 0.484 0.517 0.391
10 Dy 0.748 0.752 0.250
11 Dy 0.060 0.941 0.357
12 Dy 0.059 0.941 0.143
13 Dy 0.941 0.059 0.857
14 Dy 0.516 0.483 0.609
15 Mg 0.682 0.816 0.750
16 Mg 0.318 0.184 0.250

Results
Formation enthalpy at 0 K in eV/atom: 0.00
Polymorph energy (0 for the lowest one) in meV/atom: 0
Size of the total moment in Bohr magnetons per cell: 0.00

12.
An optimized crystal structure of Mn5Be2FeTc2. Source: the Alexandria database, functional GGA-PBE.

Cell: 2.954 8.594 8.594 Å, 90.00 90.00 90.00°
Sites, in units of the cell vectors:
1 Fe 0.000 0.000 0.000
2 Fe 0.000 0.500 0.500
3 Mn 0.500 0.436 0.295
4 Mn 0.500 0.564 0.705
5 Mn 0.500 0.795 0.936
6 Mn 0.500 0.295 0.564
7 Mn 0.500 0.500 0.000
8 Mn 0.500 0.936 0.205
9 Mn 0.500 0.000 0.500
10 Mn 0.500 0.064 0.795
11 Mn 0.500 0.205 0.064
12 Mn 0.500 0.705 0.436
13 Be 0.000 0.874 0.374
14 Be 0.000 0.126 0.626
15 Be 0.000 0.626 0.874
16 Be 0.000 0.374 0.126
17 Tc 0.000 0.174 0.326
18 Tc 0.000 0.326 0.826
19 Tc 0.000 0.674 0.174
20 Tc 0.000 0.826 0.674

Results
Formation enthalpy at 0 K in eV/atom: 0.09
Size of the total moment in Bohr magnetons per cell: 1.38

13.
An optimized crystal structure of CdBS3. Source: the Alexandria database, functional GGA-PBE.

Cell: 4.989 4.989 4.989 Å, 90.00 90.00 90.00°
Sites, in units of the cell vectors:
1 B 0.500 0.500 0.500
2 S 0.000 0.500 0.000
3 S 0.000 0.000 0.500
4 S 0.500 0.000 0.000
5 Cd 0.000 0.000 0.000

Results
Polymorph energy (0 for the lowest one) in meV/atom: 1737
Size of the total moment in Bohr magnetons per cell: 0.00
Formation energy from raw total energies in eV/atom: 1.592

14.
An optimized crystal structure of KRbHfBr6. Source: the Alexandria database, functional GGA-PBE.

Cell: 8.025 8.025 13.449 Å, 90.00 90.00 120.00°
Sites, in units of the cell vectors:
1 Br 0.598 0.662 0.636
2 Br 0.338 0.936 0.636
3 Br 0.064 0.662 0.864
4 Br 0.598 0.936 0.864
5 Br 0.662 0.598 0.136
6 Br 0.064 0.402 0.636
7 Br 0.402 0.338 0.364
8 Br 0.936 0.598 0.364
9 Br 0.936 0.338 0.136
10 Br 0.338 0.402 0.864
11 Br 0.402 0.064 0.136
12 Br 0.662 0.064 0.364
13 Hf 0.667 0.333 0.250
14 Hf 0.333 0.667 0.750
15 Rb 0.000 0.000 0.000
16 Rb 0.000 0.000 0.500
17 K 0.333 0.667 0.250
18 K 0.667 0.333 0.750

Results
Size of the total moment in Bohr magnetons per cell: 0.00
Formation energy from raw total energies in eV/atom: -1.594

15.
An optimized crystal structure of BeSb2Ru. Source: the Alexandria database, functional GGA-PBE.

Cell: 3.184 3.157 7.601 Å, 89.79 90.00 90.00°
Sites, in units of the cell vectors:
1 Be 0.500 0.250 0.250
2 Sb 0.000 0.253 0.524
3 Sb 0.000 0.247 0.976
4 Ru 0.500 0.750 0.750

Results
Polymorph energy (0 for the lowest one) in meV/atom: 406
Size of the total moment in Bohr magnetons per cell: 0.00
Formation energy from raw total energies in eV/atom: 0.338

16.
An optimized crystal structure of HfZnIn2Mo. Source: the Alexandria database, functional GGA-PBE.

Cell: 5.343 5.343 4.889 Å, 90.00 90.00 90.00°
Sites, in units of the cell vectors:
1 Zn 0.500 0.500 0.500
2 Hf 0.000 0.000 0.500
3 Mo 0.000 0.000 0.000
4 In 0.000 0.500 0.000
5 In 0.500 0.000 0.000

Results
Formation enthalpy at 0 K in eV/atom: 0.69
Size of the total moment in Bohr magnetons per cell: 0.00

17.
An optimized crystal structure of Nd6Ni2Ru. Source: the Alexandria database, functional GGA-PBE.

Cell: 8.496 8.496 8.496 Å, 109.18 108.54 110.70°
Sites, in units of the cell vectors:
1 Ni 0.683 0.000 0.683
2 Ni 0.317 0.000 0.317
3 Ni 0.500 0.617 0.117
4 Ni 0.500 0.383 0.883
5 Nd 0.572 0.742 0.830
6 Nd 0.316 0.984 0.668
7 Nd 0.913 0.742 0.170
8 Nd 0.820 0.267 0.087
9 Nd 0.684 0.352 0.668
10 Nd 0.180 0.733 0.913
11 Nd 0.087 0.258 0.830
12 Nd 0.684 0.016 0.332
13 Nd 0.428 0.258 0.170
14 Nd 0.316 0.648 0.332
15 Nd 0.180 0.267 0.446
16 Nd 0.820 0.733 0.554
17 Ru 0.000 0.000 0.000
18 Ru 0.000 0.500 0.500

Results
Formation enthalpy at 0 K in eV/atom: -0.18
Size of the total moment in Bohr magnetons per cell: 0.00

18.
An optimized crystal structure of Al4CdGa. Source: the Alexandria database, functional GGA-PBE.

Cell: 5.454 5.454 5.454 Å, 60.00 60.00 60.00°
Sites, in units of the cell vectors:
1 Al 0.625 0.125 0.625
2 Al 0.625 0.625 0.625
3 Al 0.125 0.625 0.625
4 Al 0.625 0.625 0.125
5 Ga 0.000 0.000 0.000
6 Cd 0.250 0.250 0.250

Results
Formation enthalpy at 0 K in eV/atom: 0.18
Size of the total moment in Bohr magnetons per cell: 0.00

19.
An optimized crystal structure of Nd5Pb4. Source: the Alexandria database, functional GGA-PBE.

Cell: 6.425 7.827 7.827 Å, 80.30 65.77 65.77°
Sites, in units of the cell vectors:
1 Pb 0.201 0.202 0.397
2 Pb 0.799 0.798 0.603
3 Pb 0.597 0.603 0.202
4 Pb 0.403 0.397 0.798
5 Nd 0.500 0.000 0.000
6 Nd 0.901 0.393 0.804
7 Nd 0.706 0.196 0.393
8 Nd 0.294 0.804 0.607
9 Nd 0.099 0.607 0.196

Results
Formation enthalpy at 0 K in eV/atom: -0.32
Polymorph energy (0 for the lowest one) in meV/atom: 260
Size of the total moment in Bohr magnetons per cell: 0.72

20.
An optimized crystal structure of Rb3Ce2MgS6. Source: the Alexandria database, functional GGA-PBE.

Cell: 7.130 7.130 8.005 Å, 98.53 98.53 119.99°
Sites, in units of the cell vectors:
1 S 0.391 0.063 0.190
2 S 0.264 0.264 0.810
3 S 0.609 0.937 0.810
4 S 0.937 0.609 0.810
5 S 0.063 0.391 0.190
6 S 0.736 0.736 0.190
7 Ce 0.667 0.333 0.000
8 Ce 0.333 0.667 0.000
9 Rb 0.165 0.835 0.500
10 Rb 0.500 0.500 0.500
11 Rb 0.835 0.165 0.500
12 Mg 0.000 0.000 0.000

Results
Size of the total moment in Bohr magnetons per cell: 1.02
Formation energy from raw total energies in eV/atom: -1.606

21.
An optimized crystal structure of Ti6AsRu5. Source: the Alexandria database, functional GGA-PBE.

Cell: 4.344 6.271 7.581 Å, 114.43 106.60 90.00°
Sites, in units of the cell vectors:
1 Ti 0.168 0.915 0.335
2 Ti 0.168 0.420 0.335
3 Ti 0.832 0.085 0.665
4 Ti 0.500 0.258 0.000
5 Ti 0.500 0.742 0.000
6 Ti 0.832 0.580 0.665
7 Ru 0.000 0.500 0.000
8 Ru 0.669 0.169 0.338
9 Ru 0.331 0.831 0.662
10 Ru 0.333 0.333 0.666
11 Ru 0.667 0.667 0.334
12 As 0.000 0.000 0.000

Results
Formation enthalpy at 0 K in eV/atom: -0.64
Size of the total moment in Bohr magnetons per cell: 0.00

22.
An optimized crystal structure of CeSmHo4Tm2. Source: the Alexandria database, functional GGA-PBE.

Cell: 5.002 4.990 11.139 Å, 63.39 90.00 90.00°
Sites, in units of the cell vectors:
1 Sm 0.500 0.500 0.000
2 Ho 0.000 0.752 0.748
3 Ho 0.000 0.248 0.252
4 Ho 0.500 0.253 0.747
5 Ho 0.500 0.747 0.253
6 Ce 0.000 0.500 0.500
7 Tm 0.000 0.000 0.000
8 Tm 0.500 0.000 0.500

Results
Formation enthalpy at 0 K in eV/atom: 0.05
Size of the total moment in Bohr magnetons per cell: 1.00